No. 1
Below is a relaxed structure of NbCu2GeO, with properties calculated at the PBE level.

a = 4.076 Å, b = 4.076 Å, c = 4.165 Å
α = 90.00°, β = 90.00°, γ = 90.00°
Space group P4/mmm (No. 123)
One atom of each set of equivalent atoms:
Nb (0.000, 0.000, 0.000) x1
Cu (0.000, 0.500, 0.500) x2
Ge (0.500, 0.500, 0.000) x1
O (0.000, 0.000, 0.500) x1

Total DFT energy (no corrections) (eV per atom): -5.795
Raw formation energy (meV per atom): -227.7

---

No. 2
Below is a relaxed structure of NbCuGeO6, with properties calculated at the PBE level.

a = 4.666 Å, b = 4.666 Å, c = 8.996 Å
α = 90.00°, β = 90.00°, γ = 90.00°
Space group P4_2nm (No. 102)
One atom of each set of equivalent atoms:
Nb (0.000, 0.000, 0.000) x2
Cu (0.000, 0.000, 0.328) x2
Ge (0.000, 0.000, 0.659) x2
O (0.187, 0.187, 0.820) x4
O (0.190, 0.190, 0.501) x4
O (0.208, 0.208, 0.155) x4

Total DFT energy (no corrections) (eV per atom): -6.932
Raw formation energy (meV per atom): -1539.4

---

No. 3
Below is a relaxed structure of NbTl2CuGe, with properties calculated at the PBE level.

a = 5.360 Å, b = 5.360 Å, c = 5.029 Å
α = 90.00°, β = 90.00°, γ = 90.00°
Space group P4/mmm (No. 123)
One atom of each set of equivalent atoms:
Nb (0.000, 0.000, 0.000) x1
Tl (0.000, 0.500, 0.500) x2
Cu (0.500, 0.500, 0.000) x1
Ge (0.000, 0.000, 0.500) x1

Total DFT energy (no corrections) (eV per atom): -3.580

---

No. 4
Below is a relaxed structure of Nd3Cu4Ge2, with properties calculated at the PBE level.

a = 10.786 Å, b = 4.282 Å, c = 8.497 Å
α = 90.00°, β = 107.79°, γ = 90.00°
Space group C2/m (No. 12)
One atom of each set of equivalent atoms:
Nd (0.000, 0.000, 0.000) x2
Nd (0.165, 0.500, 0.666) x4
Cu (0.057, 0.000, 0.391) x4
Cu (0.219, 0.500, 0.055) x4
Ge (0.110, 0.500, 0.278) x4

Total DFT energy (no corrections) (eV per atom): -4.913

---

No. 5
Below is a relaxed structure of Nd4Cu3Ge, with properties calculated at the PBE level.

a = 4.146 Å, b = 4.335 Å, c = 10.802 Å
α = 90.00°, β = 90.00°, γ = 90.00°
Space group Pmm2 (No. 25)
One atom of each set of equivalent atoms:
Nd (0.000, 0.000, 0.000) x1
Nd (0.000, 0.500, 0.284) x1
Nd (0.500, 0.000, 0.497) x1
Nd (0.500, 0.500, 0.787) x1
Cu (0.000, 0.500, 0.574) x1
Cu (0.500, 0.000, 0.207) x1
Cu (0.500, 0.500, 0.078) x1
Ge (0.000, 0.000, 0.715) x1

Total DFT energy (no corrections) (eV per atom): -4.820

---

No. 6
Below is a relaxed structure of NdCu3Ge, with properties calculated at the PBE level.

a = 6.208 Å, b = 9.788 Å, c = 5.743 Å
α = 90.00°, β = 90.00°, γ = 90.00°
Space group Cmcm (No. 63)
One atom of each set of equivalent atoms:
Nd (0.000, 0.228, 0.250) x4
Cu (0.000, 0.095, 0.750) x4
Cu (0.209, 0.500, 0.000) x8
Ge (0.000, 0.342, 0.750) x4

Total DFT energy (no corrections) (eV per atom): -4.668

---

Q: Look up the total DFT energy (no corrections) of the third one.
A: -3.580 eV per atom